1.
A plane-wave DFT calculation with PBE-GGA was carried out for an optimized crystal structure of Pr3Co.

The space group is I4/mmm (No. 139) and the conventional cell measures 4.520, 4.520 and 10.820 Å, with angles of 90.00, 90.00 and 90.00 degrees. The distinct sites, in fractional coordinates, are Pr at (0.000, 0.000, 0.000), Pr at (0.000, 0.500, 0.250) and Co at (0.000, 0.000, 0.500).

The total energy comes out at -4.98 eV/atom. Its formation energy is 0.376 eV per atom.

---

2.
A plane-wave DFT calculation with PBE-GGA was carried out for an optimized crystal structure of PrCo2.

The space group is P6/mmm (No. 191) and the conventional cell measures 3.9039, 3.9039 and 4.2584 Å, with angles of 90.00, 90.00 and 120.00 degrees. The distinct sites, in fractional coordinates, are Pr at (0.0000, 0.0000, 0.0000) and Co at (0.3333, 0.6667, 0.5000).

The total energy comes out at -6.38 eV/atom. Its formation energy is -0.049 eV per atom.

---

3.
A plane-wave DFT calculation with PBE-GGA was carried out for an optimized crystal structure of Pr2Co17.

The space group is R-3m (No. 166, hexagonal axes) and the conventional cell measures 8.3601, 8.3601 and 12.1439 Å, with angles of 90.00, 90.00 and 120.00 degrees. The distinct sites, in fractional coordinates, are Pr at (0.0000, 0.0000, 0.1548), Co at (0.0000, 0.0000, 0.4040), Co at (0.0000, 0.2844, 0.5000), Co at (0.0000, 0.5000, 0.0000) and Co at (0.0062, 0.5031, 0.3461).

The total energy comes out at -6.90 eV/atom. Its formation energy is -0.036 eV per atom.